[1]
# Ni3MoPd2 PBE-GGA optimized geometry
data_Ni3MoPd2
_symmetry_space_group_name_H-M 'C 1 2/c 1'
_symmetry_Int_Tables_number 15
_symmetry_space_group_name_Hall '-C 2yc'
_cell_length_a 13.0432
_cell_length_b 5.3099
_cell_length_c 4.5983
_cell_angle_alpha 90.00
_cell_angle_beta 91.04
_cell_angle_gamma 90.00
loop_
_atom_site_label
_atom_site_fract_x
_atom_site_fract_y
_atom_site_fract_z
Ni1 0.0000 0.1295 0.2500
Ni2 0.1591 0.3807 0.0920
Mo1 0.0000 0.3669 0.7500
Pd1 0.1669 0.1277 0.5955
# * ΔH_f (0 K): 0.012 eV/atom
# * crystal system: monoclinic



[2]
# Ni2Mo2Pd PBE-GGA optimized geometry
data_Ni2Mo2Pd
_symmetry_space_group_name_H-M 'P 4/m b m'
_symmetry_Int_Tables_number 127
_symmetry_space_group_name_Hall '-P 4 2ab'
_cell_length_a 7.1351
_cell_length_b 7.1351
_cell_length_c 2.7294
_cell_angle_alpha 90.00
_cell_angle_beta 90.00
_cell_angle_gamma 90.00
loop_
_atom_site_label
_atom_site_fract_x
_atom_site_fract_y
_atom_site_fract_z
Ni1 0.1212 0.3788 0.0000
Mo1 0.1740 0.6740 0.5000
Pd1 0.0000 0.0000 0.0000
# * ΔH_f (0 K): 0.064 eV/atom
# * crystal system: tetragonal



[3]
# Ni2MoPd2 PBE-GGA optimized geometry
data_Ni2MoPd2
_symmetry_space_group_name_H-M 'P 4/m b m'
_symmetry_Int_Tables_number 127
_symmetry_space_group_name_Hall '-P 4 2ab'
_cell_length_a 7.2023
_cell_length_b 7.2023
_cell_length_c 2.7019
_cell_angle_alpha 90.00
_cell_angle_beta 90.00
_cell_angle_gamma 90.00
loop_
_atom_site_label
_atom_site_fract_x
_atom_site_fract_y
_atom_site_fract_z
Ni1 0.1657 0.3343 0.0000
Mo1 0.0000 0.0000 0.5000
Pd1 0.1329 0.6329 0.5000
# * ΔH_f (0 K): 0.256 eV/atom
# * crystal system: tetragonal



[4]
# NiMo2Pd PBE-GGA optimized geometry
data_NiMo2Pd
_symmetry_space_group_name_H-M 'R -3 m'
_symmetry_Int_Tables_number 166
_symmetry_space_group_name_Hall '-R 3 2"'
_cell_length_a 2.7098
_cell_length_b 2.7098
_cell_length_c 28.8937
_cell_angle_alpha 90.00
_cell_angle_beta 90.00
_cell_angle_gamma 120.00
loop_
_atom_site_label
_atom_site_fract_x
_atom_site_fract_y
_atom_site_fract_z
Ni1 0.0000 0.0000 0.0000
Mo1 0.0000 0.0000 0.0856
Pd1 0.0000 0.0000 0.5000
# * ΔH_f (0 K): 0.495 eV/atom
# * crystal system: trigonal



[5]
# Ni4MoPd2 PBE-GGA optimized geometry
data_Ni4MoPd2
_symmetry_space_group_name_H-M 'P 1'
_symmetry_Int_Tables_number 1
_symmetry_space_group_name_Hall 'P 1'
_cell_length_a 5.2796
_cell_length_b 5.8489
_cell_length_c 6.9301
_cell_angle_alpha 114.76
_cell_angle_beta 100.77
_cell_angle_gamma 102.97
loop_
_atom_site_label
_atom_site_fract_x
_atom_site_fract_y
_atom_site_fract_z
Ni1 0.0000 0.0000 0.0000
Ni2 0.0565 0.5637 0.6948
Ni3 0.2586 0.2495 0.8360
Ni4 0.3294 0.8427 0.5573
Ni5 0.4077 0.4032 0.2748
Ni6 0.6205 0.1227 0.4088
Ni7 0.8487 0.8331 0.5519
Ni8 0.9074 0.3966 0.2826
Mo1 0.1227 0.1331 0.4256
Mo2 0.4738 0.9975 0.9918
Pd1 0.1949 0.6911 0.1299
Pd2 0.5594 0.5649 0.6997
Pd3 0.6960 0.6968 0.1357
Pd4 0.7684 0.2476 0.8322
# * ΔH_f (0 K): -0.015 eV/atom
# * crystal system: triclinic



[6]
# NiMoPd4 PBE-GGA optimized geometry
data_NiMoPd4
_symmetry_space_group_name_H-M 'P 1 2/m 1'
_symmetry_Int_Tables_number 10
_symmetry_space_group_name_Hall '-P 2y'
_cell_length_a 4.7753
_cell_length_b 2.7497
_cell_length_c 6.7187
_cell_angle_alpha 90.00
_cell_angle_beta 90.40
_cell_angle_gamma 90.00
loop_
_atom_site_label
_atom_site_fract_x
_atom_site_fract_y
_atom_site_fract_z
Ni1 0.0000 0.0000 0.0000
Mo1 0.5000 0.5000 0.0000
Pd1 0.1715 0.5000 0.6837
Pd2 0.3280 0.0000 0.3269
# * ΔH_f (0 K): -0.036 eV/atom
# * crystal system: monoclinic



[7]
# NiMoPd3 PBE-GGA optimized geometry
data_NiMoPd3
_symmetry_space_group_name_H-M 'A m m 2'
_symmetry_Int_Tables_number 38
_symmetry_space_group_name_Hall 'A 2 -2'
_cell_length_a 2.7304
_cell_length_b 9.1137
_cell_length_c 6.6139
_cell_angle_alpha 90.00
_cell_angle_beta 90.00
_cell_angle_gamma 90.00
loop_
_atom_site_label
_atom_site_fract_x
_atom_site_fract_y
_atom_site_fract_z
Ni1 0.0000 0.0000 0.0000
Mo1 0.5000 0.0000 0.3158
Pd1 0.0000 0.2411 0.2207
Pd2 0.5000 0.0000 0.6779
# * ΔH_f (0 K): 0.336 eV/atom
# * crystal system: orthorhombic



[8]
# NiMoPd4 PBE-GGA optimized geometry
data_NiMoPd4
_symmetry_space_group_name_H-M 'F d d d'
_symmetry_Int_Tables_number 70
_cell_length_a 5.3659
_cell_length_b 9.1403
_cell_length_c 14.8567
_cell_angle_alpha 90.00
_cell_angle_beta 90.00
_cell_angle_gamma 90.00
loop_
_symmetry_equiv_pos_as_xyz
'x,y,z'
'-x,-y,-z'
'-x+1/4,-y+1/4,z'
'x+1/4,y+1/4,-z'
'x,-y+1/4,-z+1/4'
'-x,y+1/4,z+1/4'
'-x+1/4,y,-z+1/4'
'x+1/4,-y,z+1/4'
'x,y+1/2,z+1/2'
'-x,-y+1/2,-z+1/2'
'-x+1/4,-y+3/4,z+1/2'
'x+1/4,y+3/4,-z+1/2'
'x,-y+3/4,-z+3/4'
'-x,y+3/4,z+3/4'
'-x+1/4,y+1/2,-z+3/4'
'x+1/4,-y+1/2,z+3/4'
'x+1/2,y,z+1/2'
'-x+1/2,-y,-z+1/2'
'-x+3/4,-y+1/4,z+1/2'
'x+3/4,y+1/4,-z+1/2'
'x+1/2,-y+1/4,-z+3/4'
'-x+1/2,y+1/4,z+3/4'
'-x+3/4,y,-z+3/4'
'x+3/4,-y,z+3/4'
'x+1/2,y+1/2,z'
'-x+1/2,-y+1/2,-z'
'-x+3/4,-y+3/4,z'
'x+3/4,y+3/4,-z'
'x+1/2,-y+3/4,-z+1/4'
'-x+1/2,y+3/4,z+1/4'
'-x+3/4,y+1/2,-z+1/4'
'x+3/4,-y+1/2,z+1/4'
loop_
_atom_site_label
_atom_site_fract_x
_atom_site_fract_y
_atom_site_fract_z
Ni1 0.1250 0.1250 0.1250
Mo1 0.1250 0.1250 0.6250
Pd1 0.1237 0.3739 0.5327
# * ΔH_f (0 K): 0.113 eV/atom
# * crystal system: orthorhombic



Number 1: total magnetization 0.0 μB per cell, total energy -154.0 eV/cell. Number 2: total magnetization 0.0 μB per cell, total energy -76.2 eV/cell. Number 3: total magnetization 1.8 μB per cell, total energy -63.0 eV/cell. Number 4: total magnetization 1.2 μB per cell, total energy -92.0 eV/cell. Number 5: total magnetization 0.0 μB per cell, total energy -88.9 eV/cell. Number 6: total magnetization 0.0 μB per cell, total energy -37.6 eV/cell. Number 7: total magnetization 0.0 μB per cell, total energy -61.0 eV/cell. Number 8: total magnetization 0.0 μB per cell, total energy -293.6 eV/cell.